1.
Crystalline Mn3InSe at its relaxed geometry, computed with GGA-PBE.

Output
The calculation puts the density of states at the Fermi level at 0.729 states/eV/atom. Its calculated volume is 19.86 Å³ per atom. As for the uncorrected formation energy: 0.44 eV per atom. The energy above the most stable polymorph in this dataset comes out at 0.0 meV per atom.

CIF file:
```
data_Mn3InSe
_cell_length_a 4.6310
_cell_length_b 4.6310
_cell_length_c 4.6310
_cell_angle_alpha 90.00
_cell_angle_beta 90.00
_cell_angle_gamma 90.00
_symmetry_space_group_name_H-M 'P m -3 m'
_symmetry_Int_Tables_number 221
_symmetry_space_group_name_Hall '-P 4 2 3'
loop_
_atom_site_label
_atom_site_type_symbol
_atom_site_fract_x
_atom_site_fract_y
_atom_site_fract_z
Mn1 Mn 0.0000 0.0000 0.5000
In1 In 0.5000 0.5000 0.5000
Se1 Se 0.0000 0.0000 0.0000
```

=====

2.
Crystalline MnInSe3 at its relaxed geometry, computed with GGA-PBE.

Output
The calculation puts the density of states at the Fermi level at 0.410 states/eV/atom. Its calculated volume is 24.03 Å³ per atom. As for the uncorrected formation energy: -0.30 eV per atom. The energy above the most stable polymorph in this dataset comes out at 0.0 meV per atom.

CIF file:
```
data_MnInSe3
_cell_length_a 3.8680
_cell_length_b 12.5757
_cell_length_c 9.8817
_cell_angle_alpha 90.00
_cell_angle_beta 90.00
_cell_angle_gamma 90.00
_symmetry_space_group_name_H-M 'C m c m'
_symmetry_Int_Tables_number 63
_symmetry_space_group_name_Hall '-C 2c 2'
loop_
_atom_site_label
_atom_site_type_symbol
_atom_site_fract_x
_atom_site_fract_y
_atom_site_fract_z
Mn1 Mn 0.0000 0.0000 0.0000
In1 In 0.0000 0.2578 0.2500
Se1 Se 0.0000 0.0508 0.2500
Se2 Se 0.0000 0.3657 0.0208
```

=====

3.
Crystalline MnInSe2 at its relaxed geometry, computed with GGA-PBE.

Output
The calculation puts the density of states at the Fermi level at 0.243 states/eV/atom. Its calculated volume is 27.72 Å³ per atom. As for the uncorrected formation energy: -0.19 eV per atom.

CIF file:
```
data_MnInSe2
_cell_length_a 3.7391
_cell_length_b 7.5082
_cell_length_c 7.8998
_cell_angle_alpha 90.00
_cell_angle_beta 90.00
_cell_angle_gamma 90.00
_symmetry_space_group_name_H-M 'C m m m'
_symmetry_Int_Tables_number 65
_symmetry_space_group_name_Hall '-C 2 2'
loop_
_atom_site_label
_atom_site_type_symbol
_atom_site_fract_x
_atom_site_fract_y
_atom_site_fract_z
Mn1 Mn 0.0000 0.0000 0.0000
In1 In 0.0000 0.0000 0.5000
Se1 Se 0.0000 0.5000 0.2080
```

=====

4.
Crystalline MnInSe2 at its relaxed geometry, computed with GGA-PBE.

Output
The calculation puts the density of states at the Fermi level at 0.279 states/eV/atom. Its calculated volume is 25.99 Å³ per atom. As for the uncorrected formation energy: -0.09 eV per atom.

CIF file:
```
data_MnInSe2
_cell_length_a 3.7756
_cell_length_b 3.8835
_cell_length_c 7.0910
_cell_angle_alpha 90.00
_cell_angle_beta 90.00
_cell_angle_gamma 90.00
_symmetry_space_group_name_H-M 'P m m m'
_symmetry_Int_Tables_number 47
_symmetry_space_group_name_Hall '-P 2 2'
loop_
_atom_site_label
_atom_site_type_symbol
_atom_site_fract_x
_atom_site_fract_y
_atom_site_fract_z
Mn1 Mn 0.0000 0.0000 0.0000
In1 In 0.0000 0.5000 0.5000
Se1 Se 0.5000 0.0000 0.5000
Se2 Se 0.5000 0.5000 0.0000
```

=====

5.
Crystalline MnIn4Se at its relaxed geometry, computed with GGA-PBE.

Output
The calculation puts the density of states at the Fermi level at 0.736 states/eV/atom. Its calculated volume is 26.14 Å³ per atom. As for the uncorrected formation energy: 0.41 eV per atom.

CIF file:
```
data_MnIn4Se
_cell_length_a 8.5612
_cell_length_b 8.5612
_cell_length_c 8.5612
_cell_angle_alpha 90.00
_cell_angle_beta 90.00
_cell_angle_gamma 90.00
_symmetry_space_group_name_H-M 'F -4 3 m'
_symmetry_Int_Tables_number 216
_symmetry_space_group_name_Hall 'F -4 2 3'
loop_
_atom_site_label
_atom_site_type_symbol
_atom_site_fract_x
_atom_site_fract_y
_atom_site_fract_z
Mn1 Mn 0.0000 0.0000 0.0000
In1 In 0.1252 0.1252 0.3748
Se1 Se 0.2500 0.2500 0.7500
```

=====

6.
Crystalline MnInSe2 at its relaxed geometry, computed with GGA-PBE.

Output
The calculation puts the density of states at the Fermi level at 0.608 states/eV/atom. Its calculated volume is 21.38 Å³ per atom. As for the uncorrected formation energy: 0.03 eV per atom.

CIF file:
```
data_MnInSe2
_cell_length_a 4.9230
_cell_length_b 4.9230
_cell_length_c 3.5292
_cell_angle_alpha 90.00
_cell_angle_beta 90.00
_cell_angle_gamma 90.00
_symmetry_space_group_name_H-M 'P 4/m m m'
_symmetry_Int_Tables_number 123
_symmetry_space_group_name_Hall '-P 4 2'
loop_
_atom_site_label
_atom_site_type_symbol
_atom_site_fract_x
_atom_site_fract_y
_atom_site_fract_z
Mn1 Mn 0.0000 0.0000 0.0000
In1 In 0.5000 0.5000 0.0000
Se1 Se 0.0000 0.5000 0.5000
```

=====

7.
Crystalline MnInSe2 at its relaxed geometry, computed with GGA-PBE.

Output
The calculation puts the density of states at the Fermi level at 1.045 states/eV/atom. Its calculated volume is 25.50 Å³ per atom. As for the uncorrected formation energy: -0.09 eV per atom.

CIF file:
```
data_MnInSe2
_cell_length_a 6.8498
_cell_length_b 6.8498
_cell_length_c 8.6946
_cell_angle_alpha 90.00
_cell_angle_beta 90.00
_cell_angle_gamma 90.00
_symmetry_space_group_name_H-M 'I -4 2 d'
_symmetry_Int_Tables_number 122
_symmetry_space_group_name_Hall 'I -4 2bw'
loop_
_atom_site_label
_atom_site_type_symbol
_atom_site_fract_x
_atom_site_fract_y
_atom_site_fract_z
Mn1 Mn 0.0000 0.0000 0.0000
In1 In 0.0000 0.0000 0.5000
Se1 Se 0.1506 0.2500 0.1250
```

=====

8.
Crystalline MnInSe2 at its relaxed geometry, computed with GGA-PBE.

Output
The calculation puts the density of states at the Fermi level at 0.323 states/eV/atom. Its calculated volume is 25.97 Å³ per atom. As for the uncorrected formation energy: -0.08 eV per atom.

CIF file:
```
data_MnInSe2
_cell_length_a 7.8601
_cell_length_b 7.5043
_cell_length_c 4.0537
_cell_angle_alpha 90.00
_cell_angle_beta 119.66
_cell_angle_gamma 90.00
_symmetry_space_group_name_H-M 'C 1 2/m 1'
_symmetry_Int_Tables_number 12
_symmetry_space_group_name_Hall '-C 2y'
loop_
_atom_site_label
_atom_site_type_symbol
_atom_site_fract_x
_atom_site_fract_y
_atom_site_fract_z
Mn1 Mn 0.0000 0.0000 0.0000
In1 In 0.0000 0.5000 0.0000
Se1 Se 0.2500 0.2500 0.0000
```